Version i
A plane-wave DFT calculation with GGA-PBE was carried out for an optimized crystal structure of CuMo2Br.

Total moment   0.0 μB per formula unit
N(E_F)   7.32 states/eV/cell

abc: 3.763 3.763 10.141
angles: 79.31 79.31 90.00
Element x y z (fractional)
Br (0.750, 0.250, 0.500)
Mo (0.375, 0.407, 0.750)
Mo (0.593, 0.125, 0.250)
Cu (0.500, 0.500, 0.000)
Br (0.000, 0.000, 0.000)
Cu (0.250, 0.750, 0.500)
Mo (0.157, 0.625, 0.250)
Mo (0.875, 0.843, 0.750)

Version ii
A plane-wave DFT calculation with GGA-PBE was carried out for an optimized crystal structure of CuMo2Br.

Total moment   0.0 μB per formula unit
N(E_F)   1.23 states/eV/cell

abc: 4.705 4.705 7.549
angles: 58.39 58.39 40.65
Element x y z (fractional)
Mo (0.482, 0.482, 0.377)
Cu (0.250, 0.250, 0.250)
Mo (0.018, 0.018, 0.123)
Br (0.750, 0.750, 0.750)

The structure with the least stability is version i.